Model one:
DFT (GGA-PBE) results for a relaxed structure of Na2ReRu2.

a = 6.2100 Å, b = 6.2100 Å, c = 5.2208 Å
α = 90.00°, β = 90.00°, γ = 90.00°
Fractional positions:
Na (0.1781, 0.3219, 0.0000)
Na (0.3219, 0.8219, 0.0000)
Na (0.6781, 0.1781, 0.0000)
Na (0.8219, 0.6781, 0.0000)
Re (0.0000, 0.0000, 0.5000)
Re (0.5000, 0.5000, 0.5000)
Ru (0.1377, 0.6377, 0.5000)
Ru (0.3623, 0.1377, 0.5000)
Ru (0.6377, 0.8623, 0.5000)
Ru (0.8623, 0.3623, 0.5000)

Calculated values
- SG = P4/mbm
- calculated density (g cm⁻³) = 7.16

Model two:
DFT (GGA-PBE) results for a relaxed structure of Na2ReRu2.

a = 8.1006 Å, b = 8.1006 Å, c = 8.1006 Å
α = 156.73°, β = 156.73°, γ = 33.14°
Fractional positions:
Na (0.2500, 0.7500, 0.5000)
Na (0.7500, 0.2500, 0.5000)
Re (0.0000, 0.0000, 0.0000)
Ru (0.4136, 0.4136, 0.0000)
Ru (0.5864, 0.5864, 0.0000)

Calculated values
- SG = I4/mmm
- calculated density (g cm⁻³) = 8.70

Last place for stability: model two

Model one:
DFT (GGA-PBE) results for a relaxed structure of NaReRu3.

a = 4.3060 Å, b = 4.3060 Å, c = 4.3060 Å
α = 90.00°, β = 90.00°, γ = 90.00°
Fractional positions:
Na (0.0000, 0.0000, 0.0000)
Re (0.5000, 0.5000, 0.5000)
Ru (0.0000, 0.0000, 0.5000)
Ru (0.0000, 0.5000, 0.0000)
Ru (0.5000, 0.0000, 0.0000)

Calculated values
- SG = Pm-3m
- calculated density (g cm⁻³) = 10.66

Model two:
DFT (GGA-PBE) results for a relaxed structure of NaReRu3.

a = 4.7323 Å, b = 4.7323 Å, c = 4.7323 Å
α = 90.00°, β = 90.00°, γ = 90.00°
Fractional positions:
Na (0.0000, 0.0000, 0.0000)
Re (0.5000, 0.5000, 0.5000)
Ru (0.0000, 0.5000, 0.5000)
Ru (0.5000, 0.0000, 0.5000)
Ru (0.5000, 0.5000, 0.0000)

Calculated values
- SG = Pm-3m
- calculated density (g cm⁻³) = 8.03

Last place for stability: model one

Model one:
DFT (GGA-PBE) results for a relaxed structure of NaRe3Ru.

a = 4.3678 Å, b = 4.3678 Å, c = 4.3678 Å
α = 90.00°, β = 90.00°, γ = 90.00°
Fractional positions:
Na (0.0000, 0.0000, 0.0000)
Re (0.0000, 0.0000, 0.5000)
Re (0.0000, 0.5000, 0.0000)
Re (0.5000, 0.0000, 0.0000)
Ru (0.5000, 0.5000, 0.5000)

Calculated values
- SG = Pm-3m
- calculated density (g cm⁻³) = 13.60

Model two:
DFT (GGA-PBE) results for a relaxed structure of NaRe3Ru.

a = 4.7379 Å, b = 4.7379 Å, c = 4.7379 Å
α = 90.00°, β = 90.00°, γ = 90.00°
Fractional positions:
Na (0.0000, 0.0000, 0.0000)
Re (0.0000, 0.5000, 0.5000)
Re (0.5000, 0.0000, 0.5000)
Re (0.5000, 0.5000, 0.0000)
Ru (0.5000, 0.5000, 0.5000)

Calculated values
- SG = Pm-3m
- calculated density (g cm⁻³) = 10.66

Last place for stability: model one

Model one:
DFT (GGA-PBE) results for a relaxed structure of NaRe3Se.

a = 4.6080 Å, b = 4.6080 Å, c = 4.6080 Å
α = 90.00°, β = 90.00°, γ = 90.00°
Fractional positions:
Na (0.0000, 0.0000, 0.0000)
Re (0.0000, 0.5000, 0.5000)
Re (0.5000, 0.0000, 0.5000)
Re (0.5000, 0.5000, 0.0000)
Se (0.5000, 0.5000, 0.5000)

Calculated values
- SG = Pm-3m
- calculated density (g cm⁻³) = 11.21

Model two:
DFT (GGA-PBE) results for a relaxed structure of NaRe3Se.

a = 4.5640 Å, b = 4.5640 Å, c = 4.5640 Å
α = 90.00°, β = 90.00°, γ = 90.00°
Fractional positions:
Na (0.0000, 0.0000, 0.0000)
Re (0.0000, 0.0000, 0.5000)
Re (0.0000, 0.5000, 0.0000)
Re (0.5000, 0.0000, 0.0000)
Se (0.5000, 0.5000, 0.5000)

Calculated values
- SG = Pm-3m
- calculated density (g cm⁻³) = 11.54

Last place for stability: model two